Entry from Alexandria via LeMat-Bulk: a relaxed Zr3PIr crystal (PBE).

abc: 4.772 4.772 4.772
angles: 90.00 90.00 90.00
Fractional positions:
Zr1 0.000 0.000 0.500
Zr2 0.500 0.000 0.000
Zr3 0.000 0.500 0.000
P1 0.000 0.000 0.000
Ir1 0.500 0.500 0.500

Calculated values
* spin magnetization: 0.00 μB per formula unit
* E: -8.145 eV per atom
* V: 21.73 A^3/atom
* D(E_F): 0.6500 states/eV per atom

Entry from Alexandria via LeMat-Bulk: a relaxed Zr2PIr2 crystal (PBE).

abc: 7.573 7.573 3.208
angles: 90.00 90.00 90.00
Fractional positions:
Ir1 0.631 0.131 0.000
Ir2 0.869 0.631 0.000
Ir3 0.369 0.869 0.000
Ir4 0.131 0.369 0.000
Zr1 0.667 0.833 0.500
Zr2 0.333 0.167 0.500
Zr3 0.833 0.333 0.500
Zr4 0.167 0.667 0.500
P1 0.000 0.000 0.000
P2 0.500 0.500 0.000

Calculated values
* spin magnetization: 0.00 μB per formula unit
* E: -8.565 eV per atom
* V: 18.40 A^3/atom
* D(E_F): 0.5173 states/eV per atom

Entry from Alexandria via LeMat-Bulk: a relaxed ZrPIr3 crystal (PBE).

abc: 4.860 4.860 4.860
angles: 90.00 90.00 90.00
Each line ends with the local moment (μB).
Fractional positions:
Ir1 0.000 0.500 0.000  0.21
Ir2 0.000 0.000 0.500  0.11
Ir3 0.500 0.000 0.000  0.20
P1 0.500 0.500 0.500  0.01
Zr1 0.000 0.000 0.000  -0.03

Calculated values
* spin magnetization: 0.51 μB per formula unit
* E: -6.174 eV per atom
* V: 22.96 A^3/atom
* D(E_F): 1.0434 states/eV per atom

Entry from Alexandria via LeMat-Bulk: a relaxed Zr2PIr crystal (PBE).

abc: 6.949 6.949 6.949
angles: 30.88 30.88 30.88
Fractional positions:
P1 0.500 0.500 0.500
Zr1 0.248 0.248 0.248
Zr2 0.752 0.752 0.752
Ir1 0.000 0.000 0.000

Calculated values
* spin magnetization: 0.00 μB per formula unit
* E: -8.683 eV per atom
* V: 19.60 A^3/atom
* D(E_F): 1.0082 states/eV per atom

Entry from Alexandria via LeMat-Bulk: a relaxed ZrPIr2 crystal (PBE).

abc: 8.615 8.615 8.615
angles: 19.63 19.63 19.63
Fractional positions:
Ir1 0.763 0.763 0.763
Ir2 0.237 0.237 0.237
P1 0.500 0.500 0.500
Zr1 0.000 0.000 0.000

Calculated values
* spin magnetization: 0.00 μB per formula unit
* E: -8.137 eV per atom
* V: 15.78 A^3/atom
* D(E_F): 0.7241 states/eV per atom

Entry from Alexandria via LeMat-Bulk: a relaxed ZrPIr2 crystal (PBE).

abc: 4.014 4.014 3.907
angles: 90.00 90.00 90.00
Fractional positions:
Ir1 0.500 0.000 0.000
Ir2 0.000 0.500 0.000
Zr1 0.000 0.000 0.500
P1 0.500 0.500 0.500

Calculated values
* spin magnetization: 0.00 μB per formula unit
* E: -8.352 eV per atom
* V: 15.74 A^3/atom
* D(E_F): 0.5342 states/eV per atom

Question: Number 4 is which compound?
Answer: Zr2PIr

Question: Which of these has the highest V?
Answer: ZrPIr3

Question: What is the V in the sixth record?
Answer: 15.74 A^3/atom